one.
The following is a PBEsol calculation of crystalline Si2WAu at its relaxed geometry, from the Alexandria database.

a b c (Å): 3.468 4.471 7.860
angles (deg): 90.00 90.00 90.00
Space group Cmmm (No. 65)
Symmetry-distinct sites (fractional):
Si (0.000, 0.000, 0.233) (multiplicity 4)
W (0.000, 0.500, 0.000) (multiplicity 2)
Au (0.000, 0.500, 0.500) (multiplicity 2)

- DOS at the Fermi energy: 4.6 states/eV per cell

two.
The following is a PBEsol calculation of crystalline Si2WAu at its relaxed geometry, from the Alexandria database.

a b c (Å): 4.192 4.192 3.266
angles (deg): 90.00 90.00 90.00
Space group P4/mmm (No. 123)
Symmetry-distinct sites (fractional):
Si (0.000, 0.500, 0.000) (multiplicity 2)
W (0.000, 0.000, 0.500) (multiplicity 1)
Au (0.500, 0.500, 0.500) (multiplicity 1)

- DOS at the Fermi energy: 1.8 states/eV per cell

It is one that is the least stable of them.

one.
The following is a PBEsol calculation of crystalline TlSn2Au2 at its relaxed geometry, from the Alexandria database.

a b c (Å): 8.369 8.369 3.245
angles (deg): 90.00 90.00 90.00
Space group P4/mbm (No. 127)
Symmetry-distinct sites (fractional):
Tl (0.000, 0.000, 0.000) (multiplicity 2)
Sn (0.143, 0.357, 0.500) (multiplicity 4)
Au (0.153, 0.653, 0.000) (multiplicity 4)

- DOS at the Fermi energy: 4.0 states/eV per cell

two.
The following is a PBEsol calculation of crystalline TlSn2Au2 at its relaxed geometry, from the Alexandria database.

a b c (Å): 4.745 4.745 11.083
angles (deg): 90.00 90.00 90.00
Space group I4/mmm (No. 139)
Symmetry-distinct sites (fractional):
Tl (0.000, 0.000, 0.000) (multiplicity 2)
Sn (0.000, 0.500, 0.250) (multiplicity 4)
Au (0.000, 0.000, 0.379) (multiplicity 4)

- DOS at the Fermi energy: 4.4 states/eV per cell

It is two that is the least stable of them.

one.
The following is a PBEsol calculation of crystalline SrW2Au at its relaxed geometry, from the Alexandria database.

a b c (Å): 3.888 3.920 9.757
angles (deg): 90.00 90.00 90.00
Space group Cmmm (No. 65)
Symmetry-distinct sites (fractional):
Sr (0.000, 0.000, 0.000) (multiplicity 2)
W (0.000, 0.500, 0.281) (multiplicity 4)
Au (0.000, 0.000, 0.500) (multiplicity 2)

- DOS at the Fermi energy: 5.1 states/eV per cell

two.
The following is a PBEsol calculation of crystalline SrW2Au at its relaxed geometry, from the Alexandria database.

a b c (Å): 5.626 10.577 2.732
angles (deg): 90.00 111.76 90.00
Space group C2/m (No. 12)
Symmetry-distinct sites (fractional):
Sr (0.000, 0.000, 0.000) (multiplicity 2)
W (0.250, 0.250, 0.500) (multiplicity 4)
Au (0.000, 0.500, 0.000) (multiplicity 2)

- DOS at the Fermi energy: 8.3 states/eV per cell

It is two that is the least stable of them.

one.
The following is a PBEsol calculation of crystalline SrYAu2 at its relaxed geometry, from the Alexandria database.

a b c (Å): 3.619 3.619 7.444
angles (deg): 90.00 90.00 90.00
Space group P4/mmm (No. 123)
Symmetry-distinct sites (fractional):
Sr (0.000, 0.000, 0.000) (multiplicity 1)
Y (0.000, 0.000, 0.500) (multiplicity 1)
Au (0.500, 0.500, 0.289) (multiplicity 2)

- DOS at the Fermi energy: 3.3 states/eV per cell

two.
The following is a PBEsol calculation of crystalline SrYAu2 at its relaxed geometry, from the Alexandria database.

a b c (Å): 7.268 7.268 7.268
angles (deg): 90.00 90.00 90.00
Space group Fm-3m (No. 225)
Symmetry-distinct sites (fractional):
Sr (0.000, 0.000, 0.000) (multiplicity 4)
Y (0.000, 0.000, 0.500) (multiplicity 4)
Au (0.250, 0.250, 0.250) (multiplicity 8)

- DOS at the Fermi energy: 12.2 states/eV per cell

It is two that is the least stable of them.

one.
The following is a PBEsol calculation of crystalline Sr2ZnAu at its relaxed geometry, from the Alexandria database.

a b c (Å): 4.538 4.445 11.525
angles (deg): 90.00 90.00 90.00
Space group Amm2 (No. 38)
Symmetry-distinct sites (fractional):
Sr (0.000, 0.000, 0.000) (multiplicity 2)
Sr (0.500, 0.000, 0.285) (multiplicity 2)
Zn (0.500, 0.000, 0.582) (multiplicity 2)
Au (0.000, 0.000, 0.705) (multiplicity 2)

- DOS at the Fermi energy: 4.4 states/eV per cell

two.
The following is a PBEsol calculation of crystalline Sr2ZnAu at its relaxed geometry, from the Alexandria database.

a b c (Å): 3.810 3.810 7.507
angles (deg): 90.00 90.00 90.00
Space group P4/mmm (No. 123)
Symmetry-distinct sites (fractional):
Sr (0.000, 0.000, 0.244) (multiplicity 2)
Zn (0.500, 0.500, 0.500) (multiplicity 1)
Au (0.500, 0.500, 0.000) (multiplicity 1)

- DOS at the Fermi energy: 3.3 states/eV per cell

three.
The following is a PBEsol calculation of crystalline Sr2ZnAu at its relaxed geometry, from the Alexandria database.

a b c (Å): 7.573 7.573 7.573
angles (deg): 90.00 90.00 90.00
Space group Fm-3m (No. 225)
Symmetry-distinct sites (fractional):
Sr (0.250, 0.250, 0.250) (multiplicity 8)
Zn (0.000, 0.000, 0.000) (multiplicity 4)
Au (0.000, 0.000, 0.500) (multiplicity 4)

- DOS at the Fermi energy: 13.1 states/eV per cell

It is three that is the least stable of them.

one.
The following is a PBEsol calculation of crystalline Ta5Au at its relaxed geometry, from the Alexandria database.

a b c (Å): 3.426 13.325 4.570
angles (deg): 90.00 90.00 90.00
Space group Cmmm (No. 65)
Symmetry-distinct sites (fractional):
Ta (0.000, 0.000, 0.000) (multiplicity 2)
Ta (0.000, 0.167, 0.500) (multiplicity 4)
Ta (0.000, 0.334, 0.000) (multiplicity 4)
Au (0.000, 0.500, 0.500) (multiplicity 2)

- DOS at the Fermi energy: 10.9 states/eV per cell

two.
The following is a PBEsol calculation of crystalline Ta5Au at its relaxed geometry, from the Alexandria database.

a b c (Å): 5.5106 5.5106 4.4473
angles (deg): 90.00 90.00 120.00
Space group P6/mmm (No. 191)
Symmetry-distinct sites (fractional):
Ta (0.0000, 0.5000, 0.0000) (multiplicity 3)
Ta (0.3333, 0.6667, 0.5000) (multiplicity 2)
Au (0.0000, 0.0000, 0.5000) (multiplicity 1)

- DOS at the Fermi energy: 5.6 states/eV per cell

It is two that is the least stable of them.